Dy2Ho3ScSb2Os GGA-PBE relaxed; space group = Amm2, No. 38; total DFT energy (no corrections) = -6.05 eV/atom
1.0
4.162 0.000 0.000
0.000 7.000 4.062
0.000 -7.000 4.062
Dy Ho Sc Sb Os
2 3 1 2 1
Cartesian
0.000 -4.239 4.062
0.000 4.239 4.062
2.081 0.000 0.320
2.081 -1.673 5.527
2.081 1.673 5.527
0.000 0.000 3.349
2.081 -2.278 2.473
2.081 2.278 2.473
0.000 0.000 6.486

PuZr GGA-PBE relaxed; space group = Pm, No. 6; energy of formation from the pure elements = 0.0987 eV per atom
1.0
4.666 0.000 0.000
0.000 4.642 0.000
-0.232 0.000 12.099
Pu Zr
6 6
Cartesian
0.000 0.000 0.000
0.637 2.321 6.711
1.414 0.000 6.626
2.307 0.000 2.122
2.971 2.321 7.592
3.753 0.000 7.518
-0.017 2.321 2.185
2.023 0.000 9.880
2.106 2.321 12.043
2.313 2.321 4.324
4.544 0.000 4.310
4.453 2.321 9.939

Dy2Y GGA-PBE relaxed; space group = Fd-3m, No. 227; energy of formation from the pure elements = 0.2345 eV per atom
1.0
0.000 4.627 4.627
4.627 0.000 4.627
4.627 4.627 0.000
Dy Y
4 2
Cartesian
0.000 0.000 0.000
2.314 2.314 0.000
2.314 0.000 2.314
0.000 2.314 2.314
3.471 3.471 3.471
5.784 5.784 5.784

PrTmZn2Ga2 GGA-PBE relaxed; space group = P3m1, No. 156; total DFT energy (no corrections) = -3.54 eV/atom
1.0
4.438 0.000 0.000
-2.219 3.844 0.000
0.000 0.000 7.352
Pr Tm Zn Ga
1 1 2 2
Cartesian
0.000 0.000 0.000
0.000 0.000 3.669
0.000 2.563 5.600
2.219 1.281 2.219
0.000 2.563 1.739
2.219 1.281 5.170

Pr2TeP GGA-PBE relaxed; space group = Pmmn, No. 59; total DFT energy (no corrections) = -6.07 eV/atom
1.0
4.277 0.000 0.000
0.000 6.174 0.000
0.000 0.000 8.966
Pr Te P
4 2 2
Cartesian
1.069 1.543 0.930
1.069 1.543 5.971
3.208 4.630 2.996
3.208 4.630 8.036
1.069 4.630 5.532
3.208 1.543 3.434
1.069 4.630 1.065
3.208 1.543 7.901

TbDyZn2Sn2 GGA-PBE relaxed; space group = P6_3/mmc, No. 194; total DFT energy (no corrections) = -3.89 eV/atom
1.0
4.509 0.000 0.000
-2.254 3.905 0.000
0.000 0.000 15.809
Tb Dy Zn Sn
2 2 4 4
Cartesian
0.000 0.000 0.000
0.000 0.000 7.904
0.000 0.000 3.952
0.000 0.000 11.857
0.000 2.603 2.516
0.000 2.603 5.388
2.254 1.302 10.421
2.254 1.302 13.292
0.000 2.603 9.702
0.000 2.603 14.011
2.254 1.302 1.798
2.254 1.302 6.106

| no. | total moment (Bohr magnetons per cell) |
| --- | --- |
| 1 | 0.03 |
| 2 | 10.47 |
| 3 | 0.34 |
| 4 | 0.00 |
| 5 | 0.01 |
| 6 | 0.01 |